Here is a relaxed SmEr2TaO8 crystal from the Alexandria database. Energies are from PBE.

Summary:
Size of the total moment in μB per atom: 0.17
DOS at the Fermi energy in states/eV/atom: 0.69
Formation energy from raw total energies in meV per atom: -2907
E_tot in eV/f.u.: -100.25

Geometry as extended XYZ:
```
12
Lattice="-0.098 4.680 1.878 -5.009 0.119 -0.653 -0.893 -2.580 6.382" Properties=species:S:1:pos:R:3 pbc="T T T"
Sm -0.446 -1.290 3.191
O -3.941 1.986 4.027
O -2.059 0.233 3.581
O -1.214 3.275 2.771
O -1.724 1.799 6.419
O -4.559 0.859 7.259
O -4.276 0.420 1.188
O -4.786 -1.055 4.837
O -1.441 1.360 0.348
Er -2.771 1.770 2.171
Er -3.228 0.450 5.436
Ta 0.000 0.000 0.000
```

Here is a relaxed SmErTe2O8 crystal from the Alexandria database. Energies are from PBE.

Summary:
Size of the total moment in μB per atom: 0.00
DOS at the Fermi energy in states/eV/atom: 0.16
Formation energy from raw total energies in meV per atom: -1938
E_tot in eV/f.u.: -78.48

Geometry as extended XYZ:
```
12
Lattice="-6.093 -1.314 -0.669 3.326 -0.845 -5.246 2.304 -3.891 4.341" Properties=species:S:1:pos:R:3 pbc="T T T"
Sm 2.123 -2.908 -1.931
O 0.456 -3.677 2.739
O 1.050 -4.461 -0.473
O -2.750 -3.696 2.239
O -2.074 -4.472 -0.999
O 0.194 -1.504 -1.931
O -4.207 -2.678 -0.656
O -2.628 -2.458 -3.482
O -1.314 -1.724 0.847
Te -1.384 -1.080 -2.957
Te -2.586 -3.142 0.358
Er 0.000 0.000 0.000
```

Here is a relaxed SmErTeO2 crystal from the Alexandria database. Energies are from PBE.

Summary:
Size of the total moment in μB per atom: 0.00
DOS at the Fermi energy in states/eV/atom: 0.00
Formation energy from raw total energies in meV per atom: -2951
E_tot in eV/f.u.: -37.09

Geometry as extended XYZ:
```
10
Lattice="4.107 0.000 0.000 0.000 6.851 -0.346 0.000 -1.911 7.578" Properties=species:S:1:pos:R:3 pbc="T T T"
Er 3.080 1.231 4.334
Er 1.027 3.709 2.898
Te 1.027 -1.106 5.676
Te 3.080 6.046 1.556
O 3.080 2.759 2.732
O 3.080 1.876 6.437
O 1.027 2.181 4.500
O 1.027 3.063 0.795
Sm 1.027 2.864 6.771
Sm 3.080 2.075 0.462
```

Here is a relaxed Sm2ErTlO6 crystal from the Alexandria database. Energies are from PBE.

Summary:
Size of the total moment in μB per atom: 0.00
DOS at the Fermi energy in states/eV/atom: 0.00
Formation energy from raw total energies in meV per atom: -2747
E_tot in eV/f.u.: -73.58

Geometry as extended XYZ:
```
10
Lattice="-1.446 -1.724 5.450 -0.142 -5.741 1.336 4.399 -2.292 3.632" Properties=species:S:1:pos:R:3 pbc="T T T"
O 0.216 -2.779 4.587
O 2.264 -3.570 6.713
O -0.285 -5.756 6.816
O 2.571 -6.514 6.034
O 0.729 -6.242 3.236
O 3.077 -4.405 3.909
Sm 3.974 -2.309 3.514
Sm 1.027 -4.893 5.104
Tl -0.143 -2.473 2.369
Er 1.228 -7.353 7.570
```

Here is a relaxed Sm2ErTlO crystal from the Alexandria database. Energies are from PBE.

Summary:
Size of the total moment in μB per atom: 0.00
DOS at the Fermi energy in states/eV/atom: 0.42
Formation energy from raw total energies in meV per atom: -1349
E_tot in eV/f.u.: -28.07

Geometry as extended XYZ:
```
5
Lattice="-2.198 3.912 -1.398 -2.642 0.008 4.177 3.480 2.739 2.195" Properties=species:S:1:pos:R:3 pbc="T T T"
Sm -1.321 0.004 2.089
Sm 1.740 1.370 1.098
O 0.000 0.000 0.000
Er -1.099 1.956 -0.699
Tl -0.680 3.330 2.487
```

Here is a relaxed SmErUO6 crystal from the Alexandria database. Energies are from PBE.

Summary:
Size of the total moment in μB per atom: 0.00
DOS at the Fermi energy in states/eV/atom: 0.00
Formation energy from raw total energies in meV per atom: -3354
E_tot in eV/f.u.: -80.50

Geometry as extended XYZ:
```
18
Lattice="5.769 0.000 0.000 -2.885 4.997 0.000 0.000 0.000 9.613" Properties=species:S:1:pos:R:3 pbc="T T T"
O -0.920 1.792 6.117
O 3.804 3.204 3.496
O 0.920 1.792 8.302
O 2.012 0.099 1.311
O 1.793 3.304 6.117
O -1.793 3.304 8.302
O 0.873 4.897 8.302
O 4.677 1.693 1.311
O 1.092 1.693 3.496
O -0.873 4.897 6.117
O 3.758 0.099 3.496
O 1.965 3.204 1.311
Er 2.885 1.666 7.210
Er 0.000 3.331 2.403
Sm 0.000 0.000 4.806
Sm 0.000 0.000 0.000
U 0.000 3.331 7.210
U 2.885 1.666 2.403
```

Here is a relaxed Er2Sn2O7 crystal from the Alexandria database. Energies are from PBE.

Summary:
Size of the total moment in μB per atom: 0.00
DOS at the Fermi energy in states/eV/atom: 0.00
Formation energy from raw total energies in meV per atom: -2588
E_tot in eV/f.u.: -80.31

Geometry as extended XYZ:
```
22
Lattice="-2.454 2.611 -6.459 -1.965 -4.678 -5.367 -7.118 -0.750 -1.822" Properties=species:S:1:pos:R:3 pbc="T T T"
O -6.350 -1.125 -4.667
O -10.293 -0.703 -10.864
O -7.198 -3.141 -6.981
O -7.224 -0.380 -10.078
O -9.235 -1.829 -8.079
O -4.129 -2.818 -6.196
O -7.013 -3.522 -9.608
O -4.339 0.324 -6.666
O -8.071 -2.397 -12.392
O -5.187 -1.692 -8.980
O -2.884 -0.704 -3.412
O 0.000 0.000 0.000
O -10.082 -3.846 -10.393
O -7.408 0.001 -7.452
Er -1.442 -0.352 -1.706
Er -5.001 -0.727 -2.617
Er -2.425 -2.691 -4.390
Er -2.669 0.953 -4.935
Sn -6.228 0.578 -5.846
Sn -7.211 -1.761 -8.530
Sn -5.984 -3.066 -5.300
Sn -3.652 -1.386 -7.619
```

Here is a relaxed Er4Sn2O crystal from the Alexandria database. Energies are from PBE.

Summary:
Size of the total moment in μB per atom: 0.00
DOS at the Fermi energy in states/eV/atom: 1.06
Formation energy from raw total energies in meV per atom: -1287
E_tot in eV/f.u.: -40.22

Geometry as extended XYZ:
```
7
Lattice="4.527 0.000 0.000 0.000 4.527 0.000 2.263 2.263 8.286" Properties=species:S:1:pos:R:3 pbc="T T T"
Er 0.000 2.263 0.000
Er 4.527 4.527 2.875
Er 2.263 0.000 0.000
Er 2.263 2.263 5.412
Sn 2.263 2.263 2.306
Sn 4.527 4.527 5.980
O 0.000 0.000 0.000
```